A plane-wave DFT calculation with PBE was carried out for a relaxed In2SbPt crystal.

Properties
- Space group: No. 47
- Formation energy without anion corrections: 52 meV/atom

Cell and atoms, written as CIF:
```
data_In2SbPt
_symmetry_space_group_name_H-M 'P 1'
_symmetry_Int_Tables_number 1
_symmetry_space_group_name_Hall 'P 1'
_cell_length_a 4.3334
_cell_length_b 4.4378
_cell_length_c 4.6602
_cell_angle_alpha 90.00
_cell_angle_beta 90.00
_cell_angle_gamma 90.00
loop_
_atom_site_label
_atom_site_fract_x
_atom_site_fract_y
_atom_site_fract_z
In1 0.0000 0.0000 0.0000
In2 0.5000 0.0000 0.5000
Sb1 0.0000 0.5000 0.5000
Pt1 0.5000 0.5000 0.0000
```

A plane-wave DFT calculation with PBE was carried out for a relaxed InSb4Pt crystal.

Properties
- Space group: No. 216
- Formation energy without anion corrections: 520 meV/atom

Cell and atoms, written as CIF:
```
data_InSb4Pt
_symmetry_space_group_name_H-M 'P 1'
_symmetry_Int_Tables_number 1
_symmetry_space_group_name_Hall 'P 1'
_cell_length_a 6.1478
_cell_length_b 6.1478
_cell_length_c 6.1478
_cell_angle_alpha 60.00
_cell_angle_beta 60.00
_cell_angle_gamma 60.00
loop_
_atom_site_label
_atom_site_fract_x
_atom_site_fract_y
_atom_site_fract_z
In1 0.0000 0.0000 0.0000
Sb1 0.3747 0.3747 0.3747
Sb2 0.3747 0.3747 0.8759
Sb3 0.3747 0.8759 0.3747
Sb4 0.8759 0.3747 0.3747
Pt1 0.7500 0.7500 0.7500
```

A plane-wave DFT calculation with PBE was carried out for a relaxed ScInSbPt2 crystal.

Properties
- Space group: No. 123
- Formation energy without anion corrections: 249 meV/atom

Cell and atoms, written as CIF:
```
data_ScInSbPt2
_symmetry_space_group_name_H-M 'P 1'
_symmetry_Int_Tables_number 1
_symmetry_space_group_name_Hall 'P 1'
_cell_length_a 4.9993
_cell_length_b 4.9993
_cell_length_c 5.2885
_cell_angle_alpha 90.00
_cell_angle_beta 90.00
_cell_angle_gamma 90.00
loop_
_atom_site_label
_atom_site_fract_x
_atom_site_fract_y
_atom_site_fract_z
Sc1 0.0000 0.0000 0.0000
In1 0.5000 0.5000 0.0000
Sb1 0.0000 0.0000 0.5000
Pt1 0.0000 0.5000 0.5000
Pt2 0.5000 0.0000 0.5000
```

A plane-wave DFT calculation with PBE was carried out for a relaxed InSiSb2Pt crystal.

Properties
- Space group: No. 123
- Formation energy without anion corrections: 770 meV/atom

Cell and atoms, written as CIF:
```
data_InSiSb2Pt
_symmetry_space_group_name_H-M 'P 1'
_symmetry_Int_Tables_number 1
_symmetry_space_group_name_Hall 'P 1'
_cell_length_a 5.1418
_cell_length_b 5.1418
_cell_length_c 5.0006
_cell_angle_alpha 90.00
_cell_angle_beta 90.00
_cell_angle_gamma 90.00
loop_
_atom_site_label
_atom_site_fract_x
_atom_site_fract_y
_atom_site_fract_z
In1 0.0000 0.0000 0.0000
Si1 0.0000 0.0000 0.5000
Sb1 0.0000 0.5000 0.5000
Sb2 0.5000 0.0000 0.5000
Pt1 0.5000 0.5000 0.0000
```

A plane-wave DFT calculation with PBE was carried out for a relaxed Sr2InSb3Pt4 crystal.

Properties
- Space group: No. 115
- Formation energy without anion corrections: -782 meV/atom

Cell and atoms, written as CIF:
```
data_Sr2InSb3Pt4
_symmetry_space_group_name_H-M 'P 1'
_symmetry_Int_Tables_number 1
_symmetry_space_group_name_Hall 'P 1'
_cell_length_a 4.6670
_cell_length_b 4.6670
_cell_length_c 10.8627
_cell_angle_alpha 90.00
_cell_angle_beta 90.00
_cell_angle_gamma 90.00
loop_
_atom_site_label
_atom_site_fract_x
_atom_site_fract_y
_atom_site_fract_z
Sr1 0.0000 0.5000 0.2405
Sr2 0.5000 0.0000 0.7595
In1 0.0000 0.0000 0.5000
Sb1 0.0000 0.5000 0.8736
Sb2 0.5000 0.0000 0.1264
Sb3 0.5000 0.5000 0.5000
Pt1 0.0000 0.0000 0.0000
Pt2 0.0000 0.5000 0.6307
Pt3 0.5000 0.0000 0.3693
Pt4 0.5000 0.5000 0.0000
```

A plane-wave DFT calculation with PBE was carried out for a relaxed InTcSb2Pt crystal.

Properties
- Space group: No. 123
- Formation energy without anion corrections: 795 meV/atom

Cell and atoms, written as CIF:
```
data_InTcSb2Pt
_symmetry_space_group_name_H-M 'P 1'
_symmetry_Int_Tables_number 1
_symmetry_space_group_name_Hall 'P 1'
_cell_length_a 5.1660
_cell_length_b 5.1660
_cell_length_c 5.2848
_cell_angle_alpha 90.00
_cell_angle_beta 90.00
_cell_angle_gamma 90.00
loop_
_atom_site_label
_atom_site_fract_x
_atom_site_fract_y
_atom_site_fract_z
In1 0.0000 0.0000 0.0000
Tc1 0.5000 0.5000 0.0000
Sb1 0.0000 0.5000 0.5000
Sb2 0.5000 0.0000 0.5000
Pt1 0.5000 0.5000 0.5000
```

A plane-wave DFT calculation with PBE was carried out for a relaxed InSb2TePt crystal.

Properties
- Space group: No. 123
- Formation energy without anion corrections: 255 meV/atom
- Offset from the most stable computed form: 0 meV per atom

Cell and atoms, written as CIF:
```
data_InSb2TePt
_symmetry_space_group_name_H-M 'P 1'
_symmetry_Int_Tables_number 1
_symmetry_space_group_name_Hall 'P 1'
_cell_length_a 5.2378
_cell_length_b 5.2378
_cell_length_c 5.6860
_cell_angle_alpha 90.00
_cell_angle_beta 90.00
_cell_angle_gamma 90.00
loop_
_atom_site_label
_atom_site_fract_x
_atom_site_fract_y
_atom_site_fract_z
In1 0.0000 0.0000 0.0000
Sb1 0.0000 0.5000 0.5000
Sb2 0.5000 0.0000 0.5000
Te1 0.5000 0.5000 0.0000
Pt1 0.5000 0.5000 0.5000
```

A plane-wave DFT calculation with PBE was carried out for a relaxed InSb2TePt crystal.

Properties
- Space group: No. 123
- Formation energy without anion corrections: 1205 meV/atom
- Offset from the most stable computed form: 950 meV per atom

Cell and atoms, written as CIF:
```
data_InSb2TePt
_symmetry_space_group_name_H-M 'P 1'
_symmetry_Int_Tables_number 1
_symmetry_space_group_name_Hall 'P 1'
_cell_length_a 5.4972
_cell_length_b 5.4972
_cell_length_c 5.5063
_cell_angle_alpha 90.00
_cell_angle_beta 90.00
_cell_angle_gamma 90.00
loop_
_atom_site_label
_atom_site_fract_x
_atom_site_fract_y
_atom_site_fract_z
In1 0.0000 0.0000 0.0000
Sb1 0.0000 0.5000 0.0000
Sb2 0.5000 0.0000 0.0000
Te1 0.0000 0.0000 0.5000
Pt1 0.5000 0.5000 0.5000
```

A plane-wave DFT calculation with PBE was carried out for a relaxed ZnIn2SbPt crystal.

Properties
- Space group: No. 123
- Formation energy without anion corrections: -14 meV/atom

Cell and atoms, written as CIF:
```
data_ZnIn2SbPt
_symmetry_space_group_name_H-M 'P 1'
_symmetry_Int_Tables_number 1
_symmetry_space_group_name_Hall 'P 1'
_cell_length_a 5.2063
_cell_length_b 5.2063
_cell_length_c 4.8692
_cell_angle_alpha 90.00
_cell_angle_beta 90.00
_cell_angle_gamma 90.00
loop_
_atom_site_label
_atom_site_fract_x
_atom_site_fract_y
_atom_site_fract_z
Zn1 0.0000 0.0000 0.0000
In1 0.0000 0.5000 0.5000
In2 0.5000 0.0000 0.5000
Sb1 0.5000 0.5000 0.0000
Pt1 0.0000 0.0000 0.5000
```

A plane-wave DFT calculation with PBE was carried out for a relaxed ZrInSb2Pt crystal.

Properties
- Space group: No. 123
- Formation energy without anion corrections: 385 meV/atom

Cell and atoms, written as CIF:
```
data_ZrInSb2Pt
_symmetry_space_group_name_H-M 'P 1'
_symmetry_Int_Tables_number 1
_symmetry_space_group_name_Hall 'P 1'
_cell_length_a 5.3167
_cell_length_b 5.3167
_cell_length_c 4.9547
_cell_angle_alpha 90.00
_cell_angle_beta 90.00
_cell_angle_gamma 90.00
loop_
_atom_site_label
_atom_site_fract_x
_atom_site_fract_y
_atom_site_fract_z
Zr1 0.0000 0.0000 0.0000
In1 0.5000 0.5000 0.0000
Sb1 0.0000 0.5000 0.5000
Sb2 0.5000 0.0000 0.5000
Pt1 0.5000 0.5000 0.5000
```

A plane-wave DFT calculation with PBE was carried out for a relaxed ScIn2Pt2 crystal.

Properties
- Space group: No. 139
- Offset from the most stable computed form: 249 meV per atom
- E_form: -527 meV/atom

Cell and atoms, written as CIF:
```
data_ScIn2Pt2
_symmetry_space_group_name_H-M 'P 1'
_symmetry_Int_Tables_number 1
_symmetry_space_group_name_Hall 'P 1'
_cell_length_a 7.0017
_cell_length_b 7.0017
_cell_length_c 7.0017
_cell_angle_alpha 146.50
_cell_angle_beta 146.50
_cell_angle_gamma 48.11
loop_
_atom_site_label
_atom_site_fract_x
_atom_site_fract_y
_atom_site_fract_z
Sc1 0.0000 0.0000 0.0000
In1 0.2500 0.7500 0.5000
In2 0.7500 0.2500 0.5000
Pt1 0.4000 0.4000 0.0000
Pt2 0.6000 0.6000 0.0000
```

A plane-wave DFT calculation with PBE was carried out for a relaxed Sc2InPt2 crystal.

Properties
- Space group: No. 139
- E_form: -832 meV/atom

Cell and atoms, written as CIF:
```
data_Sc2InPt2
_symmetry_space_group_name_H-M 'P 1'
_symmetry_Int_Tables_number 1
_symmetry_space_group_name_Hall 'P 1'
_cell_length_a 6.2917
_cell_length_b 6.2917
_cell_length_c 6.2917
_cell_angle_alpha 138.30
_cell_angle_beta 138.30
_cell_angle_gamma 60.44
loop_
_atom_site_label
_atom_site_fract_x
_atom_site_fract_y
_atom_site_fract_z
Sc1 0.2500 0.7500 0.5000
Sc2 0.7500 0.2500 0.5000
In1 0.0000 0.0000 0.0000
Pt1 0.3817 0.3817 0.0000
Pt2 0.6183 0.6183 0.0000
```

A plane-wave DFT calculation with PBE was carried out for a relaxed ScIn2Pt crystal.

Properties
- Space group: No. 123
- E_form: -535 meV/atom

Cell and atoms, written as CIF:
```
data_ScIn2Pt
_symmetry_space_group_name_H-M 'P 1'
_symmetry_Int_Tables_number 1
_symmetry_space_group_name_Hall 'P 1'
_cell_length_a 4.2570
_cell_length_b 4.2570
_cell_length_c 4.4226
_cell_angle_alpha 90.00
_cell_angle_beta 90.00
_cell_angle_gamma 90.00
loop_
_atom_site_label
_atom_site_fract_x
_atom_site_fract_y
_atom_site_fract_z
Sc1 0.0000 0.0000 0.0000
In1 0.0000 0.5000 0.5000
In2 0.5000 0.0000 0.5000
Pt1 0.5000 0.5000 0.0000
```

A plane-wave DFT calculation with PBE was carried out for a relaxed Sc2InPt9 crystal.

Properties
- Space group: No. 123
- E_form: -838 meV/atom

Cell and atoms, written as CIF:
```
data_Sc2InPt9
_symmetry_space_group_name_H-M 'P 1'
_symmetry_Int_Tables_number 1
_symmetry_space_group_name_Hall 'P 1'
_cell_length_a 4.0179
_cell_length_b 4.0179
_cell_length_c 12.0838
_cell_angle_alpha 90.00
_cell_angle_beta 90.00
_cell_angle_gamma 90.00
loop_
_atom_site_label
_atom_site_fract_x
_atom_site_fract_y
_atom_site_fract_z
Sc1 0.0000 0.0000 0.1656
Sc2 0.0000 0.0000 0.8344
In1 0.0000 0.0000 0.5000
Pt1 0.0000 0.5000 0.0000
Pt2 0.0000 0.5000 0.3287
Pt3 0.0000 0.5000 0.6713
Pt4 0.5000 0.0000 0.0000
Pt5 0.5000 0.0000 0.3287
Pt6 0.5000 0.0000 0.6713
Pt7 0.5000 0.5000 0.1651
Pt8 0.5000 0.5000 0.5000
Pt9 0.5000 0.5000 0.8349
```

A plane-wave DFT calculation with PBE was carried out for a relaxed ScIn3Pt crystal.

Properties
- Space group: No. 221
- Offset from the most stable computed form: 0 meV per atom
- E_form: 25 meV/atom

Cell and atoms, written as CIF:
```
data_ScIn3Pt
_symmetry_space_group_name_H-M 'P 1'
_symmetry_Int_Tables_number 1
_symmetry_space_group_name_Hall 'P 1'
_cell_length_a 5.1442
_cell_length_b 5.1442
_cell_length_c 5.1442
_cell_angle_alpha 90.00
_cell_angle_beta 90.00
_cell_angle_gamma 90.00
loop_
_atom_site_label
_atom_site_fract_x
_atom_site_fract_y
_atom_site_fract_z
Sc1 0.0000 0.0000 0.0000
In1 0.0000 0.5000 0.5000
In2 0.5000 0.0000 0.5000
In3 0.5000 0.5000 0.0000
Pt1 0.5000 0.5000 0.5000
```

A plane-wave DFT calculation with PBE was carried out for a relaxed ScInPt crystal.

Properties
- Space group: No. 156
- E_form: -536 meV/atom

Cell and atoms, written as CIF:
```
data_ScInPt
_symmetry_space_group_name_H-M 'P 1'
_symmetry_Int_Tables_number 1
_symmetry_space_group_name_Hall 'P 1'
_cell_length_a 3.5335
_cell_length_b 3.5335
_cell_length_c 6.1432
_cell_angle_alpha 90.00
_cell_angle_beta 90.00
_cell_angle_gamma 120.00
loop_
_atom_site_label
_atom_site_fract_x
_atom_site_fract_y
_atom_site_fract_z
Sc1 0.0000 0.0000 0.0000
In1 0.6667 0.3333 0.4040
Pt1 0.3333 0.6667 0.7285
```

A plane-wave DFT calculation with PBE was carried out for a relaxed ScInPt crystal.

Properties
- Space group: No. 107
- E_form: -748 meV/atom

Cell and atoms, written as CIF:
```
data_ScInPt
_symmetry_space_group_name_H-M 'P 1'
_symmetry_Int_Tables_number 1
_symmetry_space_group_name_Hall 'P 1'
_cell_length_a 5.9295
_cell_length_b 5.9295
_cell_length_c 5.9295
_cell_angle_alpha 147.66
_cell_angle_beta 147.66
_cell_angle_gamma 46.38
loop_
_atom_site_label
_atom_site_fract_x
_atom_site_fract_y
_atom_site_fract_z
Sc1 0.0000 0.0000 0.0000
In1 0.3010 0.3010 0.0000
Pt1 0.6407 0.6407 0.0000
```

A plane-wave DFT calculation with PBE was carried out for a relaxed Sc2In2Pt crystal.

Properties
- Space group: No. 2
- Offset from the most stable computed form: 3 meV per atom
- E_form: -502 meV/atom

Cell and atoms, written as CIF:
```
data_Sc2In2Pt
_symmetry_space_group_name_H-M 'P 1'
_symmetry_Int_Tables_number 1
_symmetry_space_group_name_Hall 'P 1'
_cell_length_a 3.3270
_cell_length_b 4.4811
_cell_length_c 7.4817
_cell_angle_alpha 107.30
_cell_angle_beta 97.11
_cell_angle_gamma 90.14
loop_
_atom_site_label
_atom_site_fract_x
_atom_site_fract_y
_atom_site_fract_z
Sc1 0.1165 0.4004 0.3031
Sc2 0.8835 0.5996 0.6969
In1 0.4243 0.1901 0.8797
In2 0.5757 0.8099 0.1203
Pt1 0.5000 0.0000 0.5000
```

A plane-wave DFT calculation with PBE was carried out for a relaxed ScInPt6 crystal.

Properties
- Space group: No. 123
- E_form: -730 meV/atom

Cell and atoms, written as CIF:
```
data_ScInPt6
_symmetry_space_group_name_H-M 'P 1'
_symmetry_Int_Tables_number 1
_symmetry_space_group_name_Hall 'P 1'
_cell_length_a 4.0303
_cell_length_b 4.0303
_cell_length_c 8.0529
_cell_angle_alpha 90.00
_cell_angle_beta 90.00
_cell_angle_gamma 90.00
loop_
_atom_site_label
_atom_site_fract_x
_atom_site_fract_y
_atom_site_fract_z
Sc1 0.0000 0.0000 0.0000
In1 0.0000 0.0000 0.5000
Pt1 0.0000 0.5000 0.2453
Pt2 0.0000 0.5000 0.7547
Pt3 0.5000 0.0000 0.2453
Pt4 0.5000 0.0000 0.7547
Pt5 0.5000 0.5000 0.0000
Pt6 0.5000 0.5000 0.5000
```

A plane-wave DFT calculation with PBE was carried out for a relaxed Sc2In2Pt3 crystal.

Properties
- Space group: No. 2
- E_form: -833 meV/atom

Cell and atoms, written as CIF:
```
data_Sc2In2Pt3
_symmetry_space_group_name_H-M 'P 1'
_symmetry_Int_Tables_number 1
_symmetry_space_group_name_Hall 'P 1'
_cell_length_a 4.5903
_cell_length_b 4.5941
_cell_length_c 8.0748
_cell_angle_alpha 74.49
_cell_angle_beta 74.41
_cell_angle_gamma 60.42
loop_
_atom_site_label
_atom_site_fract_x
_atom_site_fract_y
_atom_site_fract_z
Sc1 0.1270 0.1279 0.1254
Sc2 0.8730 0.8721 0.8746
In1 0.3822 0.3841 0.3597
In2 0.6178 0.6159 0.6403
Pt1 0.0000 0.0000 0.5000
Pt2 0.2369 0.2348 0.7747
Pt3 0.7631 0.7652 0.2253
```